i.
A geometry-optimized Rh2WCl structure, computed with PBE-GGA.

Cell and atoms, written as POSCAR:
```
Rh2WCl
1.0
8.907 0.000 0.000
0.000 2.895 0.000
-0.825 0.000 6.387
Rh W Cl
4 2 2
Cartesian
0.000 0.000 0.000
1.953 1.448 1.223
4.453 1.448 0.000
6.406 0.000 1.223
3.860 0.000 2.018
8.314 1.448 2.018
-0.053 0.000 3.945
4.400 1.448 3.945
```

Output
As for the symmetry: Cm (8). The magnetic moment comes out at 0.0 μB/cell. As for the crystal system: monoclinic.



ii.
A geometry-optimized Rh2WCl structure, computed with PBE-GGA.

Cell and atoms, written as POSCAR:
```
Rh2WCl
1.0
2.817 0.000 0.000
0.000 4.979 0.000
0.000 0.000 8.953
Rh W Cl
4 2 2
Cartesian
0.000 0.000 0.000
0.000 2.489 2.300
1.409 0.000 2.300
1.409 2.489 0.000
0.000 0.000 4.512
1.409 2.489 4.512
0.000 2.489 6.641
1.409 0.000 6.641
```

Output
As for the symmetry: Cmm2 (35). The magnetic moment comes out at 0.0 μB/cell. As for the crystal system: orthorhombic.



Stability, descending: i, ii



i.
A geometry-optimized Rh2WCl structure, computed with PBE-GGA.

Cell and atoms, written as POSCAR:
```
Rh2WCl
1.0
6.143 0.000 0.000
0.000 6.143 0.000
0.000 0.000 8.833
Rh W Cl
8 4 4
Cartesian
1.460 1.536 1.104
1.536 4.531 3.312
1.536 4.683 7.728
1.612 1.536 5.520
4.531 4.607 5.520
4.607 1.460 7.728
4.607 1.612 3.312
4.683 4.607 1.104
0.000 0.000 0.000
0.000 3.072 2.208
3.072 0.000 6.624
3.072 3.072 4.416
0.000 0.000 4.416
0.000 3.072 6.624
3.072 0.000 2.208
3.072 3.072 0.000
```

Output
As for the symmetry: I-42d (122). The magnetic moment comes out at 0.0 μB/cell. As for the crystal system: tetragonal.



ii.
A geometry-optimized Rh2WCl structure, computed with PBE-GGA.

Cell and atoms, written as POSCAR:
```
Rh2WCl
1.0
2.902 0.000 0.000
-1.451 2.513 0.000
0.000 0.000 25.474
Rh W Cl
6 3 3
Cartesian
0.000 0.000 6.329
0.000 0.000 19.145
0.000 1.675 10.653
0.000 1.675 23.312
1.451 0.838 2.162
1.451 0.838 14.820
0.000 0.000 12.737
0.000 1.675 4.246
1.451 0.838 21.228
0.000 0.000 0.000
0.000 1.675 16.983
1.451 0.838 8.491
```

Output
As for the symmetry: R-3m (166). The magnetic moment comes out at 0.0 μB/cell. As for the crystal system: trigonal.



iii.
A geometry-optimized Rh2WCl structure, computed with PBE-GGA.

Cell and atoms, written as POSCAR:
```
Rh2WCl
1.0
2.811 0.000 0.000
0.000 4.187 0.000
0.000 0.000 12.873
Rh W Cl
4 2 2
Cartesian
0.000 0.000 0.000
0.000 2.094 1.490
1.405 0.000 7.926
1.405 2.094 6.437
0.000 2.094 8.756
1.405 0.000 2.320
0.000 0.000 4.332
1.405 2.094 10.769
```

Output
As for the symmetry: Imm2 (44). The magnetic moment comes out at 0.0 μB/cell. As for the crystal system: orthorhombic.



iv.
A geometry-optimized Rh2WCl structure, computed with PBE-GGA.

Cell and atoms, written as POSCAR:
```
Rh2WCl
1.0
2.863 0.000 0.000
-1.431 2.479 0.000
0.000 0.000 25.906
Rh W Cl
6 3 3
Cartesian
0.000 0.000 0.000
0.000 0.000 6.404
0.000 1.653 17.271
0.000 1.653 23.675
1.431 0.826 8.635
1.431 0.826 15.039
0.000 0.000 12.925
0.000 1.653 4.289
1.431 0.826 21.560
0.000 0.000 19.626
0.000 1.653 10.991
1.431 0.826 2.356
```

Output
As for the symmetry: R3m (160). The magnetic moment comes out at 2.9 μB/cell. As for the crystal system: trigonal.



Stability, descending: ii, iv, iii, i



i.
A geometry-optimized Rh2WCl structure, computed with PBE-GGA.

Cell and atoms, written as POSCAR:
```
Rh2WCl
1.0
5.550 0.000 0.000
0.000 7.853 0.000
0.000 0.000 2.815
Rh W Cl
4 2 2
Cartesian
1.388 1.963 0.000
1.388 5.890 0.000
4.163 1.963 0.000
4.163 5.890 0.000
0.000 0.000 1.408
2.775 3.927 1.408
0.000 3.927 1.408
2.775 0.000 1.408
```

Output
As for the symmetry: Cmmm (65). The magnetic moment comes out at 0.0 μB/cell. As for the crystal system: orthorhombic.



ii.
A geometry-optimized Rh2WCl structure, computed with PBE-GGA.

Cell and atoms, written as POSCAR:
```
Rh2WCl
1.0
2.868 0.000 0.000
0.000 2.868 0.000
0.000 0.000 7.386
Rh W Cl
2 1 1
Cartesian
0.000 0.000 0.000
1.434 1.434 1.970
0.000 0.000 3.675
1.434 1.434 5.363
```

Output
As for the symmetry: P4mm (99). The magnetic moment comes out at 0.0 μB/cell. As for the crystal system: tetragonal.



Stability, descending: ii, i



i.
A geometry-optimized Rh3WCl structure, computed with PBE-GGA.

Cell and atoms, written as POSCAR:
```
Rh3WCl
1.0
4.760 0.000 0.000
0.000 4.760 0.000
0.000 0.000 4.760
Rh W Cl
3 1 1
Cartesian
0.000 0.000 2.380
0.000 2.380 0.000
2.380 0.000 0.000
0.000 0.000 0.000
2.380 2.380 2.380
```

Output
As for the symmetry: Pm-3m (221). The magnetic moment comes out at 0.0 μB/cell. As for the crystal system: cubic.



ii.
A geometry-optimized Rh3WCl structure, computed with PBE-GGA.

Cell and atoms, written as POSCAR:
```
Rh3WCl
1.0
4.373 0.000 0.000
0.000 4.373 0.000
0.000 0.000 4.373
Rh W Cl
3 1 1
Cartesian
0.000 0.000 2.187
0.000 2.187 0.000
2.187 0.000 0.000
2.187 2.187 2.187
0.000 0.000 0.000
```

Output
As for the symmetry: Pm-3m (221). The magnetic moment comes out at 2.6 μB/cell. As for the crystal system: cubic.



Stability, descending: ii, i



i.
A geometry-optimized YRhCl2 structure, computed with PBE-GGA.

Cell and atoms, written as POSCAR:
```
YRhCl2
1.0
6.127 0.000 0.000
0.000 8.662 0.000
-3.053 0.000 3.159
Y Rh Cl
2 2 4
Cartesian
0.000 0.000 0.000
3.064 4.331 0.000
0.000 4.331 0.000
3.064 0.000 0.000
0.005 2.166 1.580
0.005 6.497 1.580
3.069 2.166 1.580
3.069 6.497 1.580
```

Output
As for the symmetry: C2/m (12). The magnetic moment comes out at 0.0 μB/cell. As for the crystal system: monoclinic.



ii.
A geometry-optimized YRhCl2 structure, computed with PBE-GGA.

Cell and atoms, written as POSCAR:
```
YRhCl2
1.0
4.441 0.000 0.000
0.000 4.441 0.000
0.000 0.000 16.901
Y Rh Cl
4 4 8
Cartesian
0.000 0.000 0.000
0.000 2.220 4.225
2.220 0.000 12.676
2.220 2.220 8.450
0.000 0.000 8.450
0.000 2.220 12.676
2.220 0.000 4.225
2.220 2.220 0.000
1.034 1.110 10.563
1.110 3.254 14.788
1.110 3.407 6.338
1.187 1.110 2.113
3.254 3.331 2.113
3.331 1.034 6.338
3.331 1.187 14.788
3.407 3.331 10.563
```

Output
As for the symmetry: I-42d (122). The magnetic moment comes out at 0.0 μB/cell. As for the crystal system: tetragonal.



iii.
A geometry-optimized YRhCl2 structure, computed with PBE-GGA.

Cell and atoms, written as POSCAR:
```
YRhCl2
1.0
3.816 0.000 0.000
-1.908 3.304 0.000
0.000 0.000 23.841
Y Rh Cl
3 3 6
Cartesian
0.000 0.000 0.000
0.000 2.203 15.894
1.908 1.101 7.947
0.000 0.000 11.921
0.000 2.203 3.974
1.908 1.101 19.868
0.000 0.000 2.626
0.000 0.000 21.215
0.000 2.203 13.268
0.000 2.203 18.520
1.908 1.101 5.321
1.908 1.101 10.573
```

Output
As for the symmetry: R-3m (166). The magnetic moment comes out at 6.0 μB/cell. As for the crystal system: trigonal.



Stability, descending: ii, i, iii



i.
A geometry-optimized YRhCl2 structure, computed with PBE-GGA.

Cell and atoms, written as POSCAR:
```
YRhCl2
1.0
3.506 0.000 0.000
0.000 4.082 0.000
0.000 0.000 12.947
Y Rh Cl
2 2 4
Cartesian
0.000 0.000 0.000
1.753 2.041 6.474
0.000 2.041 4.527
1.753 0.000 11.000
0.000 0.000 7.758
0.000 2.041 11.017
1.753 0.000 4.544
1.753 2.041 1.284
```

Output
As for the symmetry: Imm2 (44). The magnetic moment comes out at 0.0 μB/cell. As for the crystal system: orthorhombic.



ii.
A geometry-optimized YRhCl2 structure, computed with PBE-GGA.

Cell and atoms, written as POSCAR:
```
YRhCl2
1.0
4.202 0.000 0.000
0.000 7.318 0.000
0.000 0.000 6.278
Y Rh Cl
2 2 4
Cartesian
0.000 0.000 0.000
2.101 3.659 0.000
0.000 0.000 3.139
2.101 3.659 3.139
0.000 3.659 1.665
0.000 3.659 4.613
2.101 0.000 1.665
2.101 0.000 4.613
```

Output
As for the symmetry: Cmmm (65). The magnetic moment comes out at 1.2 μB/cell. As for the crystal system: orthorhombic.



iii.
A geometry-optimized YRhCl2 structure, computed with PBE-GGA.

Cell and atoms, written as POSCAR:
```
YRhCl2
1.0
10.310 0.000 0.000
0.000 3.562 0.000
-0.748 0.000 5.300
Y Rh Cl
2 2 4
Cartesian
0.000 0.000 0.000
5.155 1.781 0.000
1.222 1.781 1.479
6.377 0.000 1.479
9.868 1.781 3.120
2.886 0.000 0.060
4.713 0.000 3.120
8.041 1.781 0.060
```

Output
As for the symmetry: Cm (8). The magnetic moment comes out at 0.0 μB/cell. As for the crystal system: monoclinic.



iv.
A geometry-optimized YRhCl2 structure, computed with PBE-GGA.

Cell and atoms, written as POSCAR:
```
YRhCl2
1.0
3.741 0.000 0.000
0.000 3.764 0.000
0.000 0.000 6.314
Y Rh Cl
1 1 2
Cartesian
0.000 0.000 0.000
1.871 1.882 5.221
0.000 0.000 3.683
1.871 1.882 1.255
```

Output
As for the symmetry: Pmm2 (25). The magnetic moment comes out at 0.0 μB/cell. As for the crystal system: orthorhombic.



Stability, descending: iii, iv, i, ii



i.
A geometry-optimized YRhCl2 structure, computed with PBE-GGA.

Cell and atoms, written as POSCAR:
```
YRhCl2
1.0
3.913 0.000 0.000
0.000 4.051 0.000
0.000 0.000 13.488
Y Rh Cl
2 2 4
Cartesian
0.000 0.000 0.000
1.956 2.026 6.744
0.000 0.000 6.744
1.956 2.026 0.000
0.000 2.026 4.818
0.000 2.026 8.670
1.956 0.000 1.926
1.956 0.000 11.562
```

Output
As for the symmetry: Immm (71). The magnetic moment comes out at 0.4 μB/cell. As for the crystal system: orthorhombic.



ii.
A geometry-optimized YRhCl2 structure, computed with PBE-GGA.

Cell and atoms, written as POSCAR:
```
YRhCl2
1.0
3.405 0.000 0.000
-1.702 2.948 0.000
0.000 0.000 25.387
Y Rh Cl
3 3 6
Cartesian
0.000 0.000 0.000
0.000 1.966 16.925
1.702 0.983 8.462
0.000 0.000 12.693
0.000 1.966 4.231
1.702 0.983 21.156
0.000 0.000 10.361
0.000 0.000 15.026
0.000 1.966 1.899
0.000 1.966 6.564
1.702 0.983 18.823
1.702 0.983 23.488
```

Output
As for the symmetry: R-3m (166). The magnetic moment comes out at 2.5 μB/cell. As for the crystal system: trigonal.



Stability, descending: i, ii



i.
A geometry-optimized YRhCl2 structure, computed with PBE-GGA.

Cell and atoms, written as POSCAR:
```
YRhCl2
1.0
13.401 0.000 0.000
0.000 3.688 0.000
-0.284 0.000 4.327
Y Rh Cl
2 2 4
Cartesian
0.000 0.000 0.000
6.700 1.844 0.000
-0.142 1.844 2.163
6.558 0.000 2.163
1.872 1.844 0.942
4.545 0.000 3.384
8.572 0.000 0.942
11.245 1.844 3.384
```

Output
As for the symmetry: C2/m (12). The magnetic moment comes out at 0.0 μB/cell. As for the crystal system: monoclinic.



ii.
A geometry-optimized YRhCl2 structure, computed with PBE-GGA.

Cell and atoms, written as POSCAR:
```
YRhCl2
1.0
3.544 0.000 0.000
0.000 4.220 0.000
0.000 0.000 5.120
Y Rh Cl
1 1 2
Cartesian
0.000 0.000 0.000
1.772 0.000 2.560
0.000 2.110 2.560
1.772 2.110 0.000
```

Output
As for the symmetry: Pmmm (47). The magnetic moment comes out at 0.0 μB/cell. As for the crystal system: orthorhombic.



Stability, descending: i, ii



i.
A geometry-optimized ZnRh2Cl structure, computed with PBE-GGA.

Cell and atoms, written as POSCAR:
```
ZnRh2Cl
1.0
6.123 0.000 0.000
0.000 6.437 0.000
0.000 0.000 2.975
Zn Rh Cl
2 4 2
Cartesian
0.000 0.000 0.000
3.062 3.219 0.000
1.531 1.609 1.487
1.531 4.828 1.487
4.592 1.609 1.487
4.592 4.828 1.487
0.000 3.219 0.000
3.062 0.000 0.000
```

Output
As for the symmetry: Cmmm (65). The magnetic moment comes out at 0.0 μB/cell. As for the crystal system: orthorhombic.



ii.
A geometry-optimized ZnRh2Cl structure, computed with PBE-GGA.

Cell and atoms, written as POSCAR:
```
ZnRh2Cl
1.0
2.951 0.000 0.000
0.000 4.335 0.000
-0.096 0.000 4.794
Zn Rh Cl
1 2 1
Cartesian
0.000 0.000 0.000
0.751 2.167 1.180
2.104 2.167 3.615
1.428 0.000 2.397
```

Output
As for the symmetry: P2/m (10). The magnetic moment comes out at 0.0 μB/cell. As for the crystal system: monoclinic.



iii.
A geometry-optimized ZnRh2Cl structure, computed with PBE-GGA.

Cell and atoms, written as POSCAR:
```
ZnRh2Cl
1.0
6.213 0.000 0.000
0.000 6.213 0.000
0.000 0.000 6.213
Zn Rh Cl
4 8 4
Cartesian
0.000 0.000 0.000
0.000 3.106 3.106
3.106 0.000 3.106
3.106 3.106 0.000
1.553 1.553 1.553
1.553 1.553 4.660
1.553 4.660 1.553
1.553 4.660 4.660
4.660 1.553 1.553
4.660 1.553 4.660
4.660 4.660 1.553
4.660 4.660 4.660
0.000 0.000 3.106
0.000 3.106 0.000
3.106 0.000 0.000
3.106 3.106 3.106
```

Output
As for the symmetry: Fm-3m (225). The magnetic moment comes out at 3.9 μB/cell. As for the crystal system: cubic.



Stability, descending: ii, i, iii



i.
A geometry-optimized ZnRh2Cl structure, computed with PBE-GGA.

Cell and atoms, written as POSCAR:
```
ZnRh2Cl
1.0
2.905 0.000 0.000
0.000 4.361 0.000
0.000 0.000 9.490
Zn Rh Cl
2 4 2
Cartesian
0.000 0.000 0.000
1.453 2.181 4.745
0.000 0.000 4.557
0.000 2.181 2.207
1.453 0.000 6.953
1.453 2.181 9.302
0.000 2.181 7.268
1.453 0.000 2.523
```

Output
As for the symmetry: Imm2 (44). The magnetic moment comes out at 0.0 μB/cell. As for the crystal system: orthorhombic.



ii.
A geometry-optimized ZnRh2Cl structure, computed with PBE-GGA.

Cell and atoms, written as POSCAR:
```
ZnRh2Cl
1.0
3.647 0.000 0.000
0.000 3.647 0.000
0.000 0.000 9.241
Zn Rh Cl
2 4 2
Cartesian
0.000 0.000 0.000
1.823 1.823 4.621
0.000 0.000 4.621
0.000 1.823 2.310
1.823 0.000 6.931
1.823 1.823 0.000
0.000 1.823 6.931
1.823 0.000 2.310
```

Output
As for the symmetry: I-4m2 (119). The magnetic moment comes out at 1.2 μB/cell. As for the crystal system: tetragonal.



Stability, descending: i, ii



i.
A geometry-optimized Zn2RhCl structure, computed with PBE-GGA.

Cell and atoms, written as POSCAR:
```
Zn2RhCl
1.0
3.321 0.000 0.000
0.000 3.479 0.000
0.000 0.000 6.701
Zn Rh Cl
2 1 1
Cartesian
0.000 0.000 0.000
1.661 1.740 1.809
1.661 1.740 6.088
0.000 0.000 3.068
```

Output
As for the symmetry: Pmm2 (25). The magnetic moment comes out at 0.0 μB/cell. As for the crystal system: orthorhombic.



ii.
A geometry-optimized Zn2RhCl structure, computed with PBE-GGA.

Cell and atoms, written as POSCAR:
```
Zn2RhCl
1.0
2.868 0.000 0.000
0.000 4.196 0.000
0.000 0.000 11.227
Zn Rh Cl
4 2 2
Cartesian
0.000 0.000 2.263
0.000 0.000 8.963
1.434 2.098 3.350
1.434 2.098 7.877
0.000 2.098 5.613
1.434 0.000 0.000
0.000 2.098 0.000
1.434 0.000 5.613
```

Output
As for the symmetry: Immm (71). The magnetic moment comes out at 0.0 μB/cell. As for the crystal system: orthorhombic.



Stability, descending: i, ii



i.
A geometry-optimized ZnRhCl2 structure, computed with PBE-GGA.

Cell and atoms, written as POSCAR:
```
ZnRhCl2
1.0
3.416 0.000 0.000
-1.708 2.958 0.000
0.000 0.000 24.447
Zn Rh Cl
3 3 6
Cartesian
0.000 0.000 0.000
0.000 1.972 16.298
1.708 0.986 8.149
0.000 0.000 6.278
0.000 1.972 22.575
1.708 0.986 14.427
0.000 0.000 13.065
0.000 0.000 17.779
0.000 1.972 4.916
0.000 1.972 9.630
1.708 0.986 1.481
1.708 0.986 21.214
```

Output
As for the symmetry: R3m (160). The magnetic moment comes out at 3.0 μB/cell. As for the crystal system: trigonal.



ii.
A geometry-optimized ZnRhCl2 structure, computed with PBE-GGA.

Cell and atoms, written as POSCAR:
```
ZnRhCl2
1.0
6.644 0.000 0.000
0.000 3.477 0.000
-2.720 0.000 8.732
Zn Rh Cl
2 2 4
Cartesian
0.000 0.000 0.000
3.322 1.739 0.000
-1.360 1.739 4.366
1.962 0.000 4.366
-0.421 0.000 5.701
1.023 1.739 3.031
2.902 1.739 5.701
4.346 0.000 3.031
```

Output
As for the symmetry: C2/m (12). The magnetic moment comes out at 2.0 μB/cell. As for the crystal system: monoclinic.



Stability, descending: i, ii